(1)
# CdGaSbTe2 GGA-PBEsol relaxed
# formation energy (no corrections): 0.561 eV per atom
# N(E_F): 4.16 states/eV/f.u.
# calculated volume: 33.3 Å³/atom
# total DFT energy (no corrections): -13.3 eV per cell
data_CdGaSbTe2
_cell_length_a 5.582
_cell_length_b 5.582
_cell_length_c 5.352
_cell_angle_alpha 90.00
_cell_angle_beta 90.00
_cell_angle_gamma 90.00
_symmetry_space_group_name_H-M 'P 4/m m m'
_symmetry_Int_Tables_number 123
_symmetry_space_group_name_Hall '-P 4 2'
loop_
_atom_site_label
_atom_site_type_symbol
_atom_site_fract_x
_atom_site_fract_y
_atom_site_fract_z
_atom_site_occupancy
Cd1 Cd 0.000 0.000 0.000 1
Ga1 Ga 0.500 0.500 0.500 1
Sb1 Sb 0.000 0.000 0.500 1
Te1 Te 0.000 0.500 0.000 1

(2)
# KBr2 GGA-PBEsol relaxed
# formation energy (no corrections): -1.120 eV per atom
# N(E_F): 0.00 states/eV/f.u.
# relative energy among the computed polymorphs: 0.000 eV per atom
# calculated volume: 39.2 Å³/atom
# total DFT energy (no corrections): -32.9 eV per cell
data_KBr2
_cell_length_a 11.593
_cell_length_b 4.339
_cell_length_c 9.446
_cell_angle_alpha 90.00
_cell_angle_beta 97.86
_cell_angle_gamma 90.00
_symmetry_space_group_name_H-M 'C 1 2/m 1'
_symmetry_Int_Tables_number 12
loop_
_symmetry_equiv_pos_as_xyz
'x,y,z'
'-x,-y,-z'
'-x,y,-z'
'x,-y,z'
'x+1/2,y+1/2,z'
'-x+1/2,-y+1/2,-z'
'-x+1/2,y+1/2,-z'
'x+1/2,-y+1/2,z'
loop_
_atom_site_label
_atom_site_type_symbol
_atom_site_fract_x
_atom_site_fract_y
_atom_site_fract_z
_atom_site_occupancy
K1 K 0.082 0.000 0.344 1
Br1 Br 0.046 0.500 0.890 1
Br2 Br 0.141 0.500 0.621 1